Density functional theory data (GGA-PBEsol) for an optimized crystal structure of BeIr2SeN.

SG: P4/mmm
Density of states at the Fermi level: 4.339 states/eV per cell
Theoretical density: 13.07 g/cm3
E_form (uncorrected): 0.82 eV per atom

abc: 3.070 4.487 4.487
angles: 90.00 90.00 90.00
Atoms (fractional coordinates):
N  0.500  0.000  0.000
Be  0.000  0.000  0.000
Se  0.500  0.500  0.500
Ir  0.000  0.500  0.000
Ir  0.000  0.000  0.500